Record 1
# SrTbPrMg

Crystalline SrTbPrMg at its relaxed geometry (PBE, the Alexandria database).

Values from the calculation:
For the calculated formation energy, the calculation gives 0.135 eV per atom. As for the volume: 34.79 Å³/atom. The symmetry is No. 216.

Structure (POSCAR):
```
SrTbPrMg
1.0
-5.814 -0.068 0.151
-2.918 -4.465 -2.319
-2.776 -3.768 3.454
Pr Sr Tb Mg
1 1 1 1
direct
0.250 0.250 0.250 Pr
0.750 0.750 0.750 Sr
0.500 0.500 0.500 Tb
0.000 0.000 0.000 Mg
```

---

Record 2
# Sr3Pr3MgTe8

Crystalline Sr3Pr3MgTe8 at its relaxed geometry (PBE, the Alexandria database).

Values from the calculation:
As for the volume: 36.87 Å³/atom. The calculation puts the formation energy (no corrections) at -1.45 eV per atom. The symmetry is No. 166.

Structure (POSCAR):
```
Sr3Pr3MgTe8
1.0
9.111 0.000 0.000
-4.556 7.891 -0.028
0.000 -5.233 7.710
Te Pr Sr Mg
8 3 3 1
direct
0.763 0.008 0.271 Te
0.237 0.992 0.729 Te
0.763 0.527 0.271 Te
0.253 0.506 0.258 Te
0.747 0.494 0.742 Te
0.237 0.473 0.729 Te
0.245 0.008 0.271 Te
0.755 0.992 0.729 Te
0.500 0.000 0.500 Pr
0.500 0.500 0.500 Pr
0.000 0.500 0.500 Pr
0.500 0.500 0.000 Sr
0.000 0.500 0.000 Sr
0.000 0.000 0.000 Sr
0.000 0.000 0.500 Mg
```

---

Record 3
# SrPrMg2Tl4

Crystalline SrPrMg2Tl4 at its relaxed geometry (PBE, the Alexandria database).

Values from the calculation:
For the calculated formation energy, the calculation gives -0.271 eV per atom. As for the volume: 28.21 Å³/atom. The symmetry is No. 166.

Structure (POSCAR):
```
SrPrMg2Tl4
1.0
-3.583 2.902 -2.788
-4.620 -2.254 -1.615
-6.650 2.749 6.201
Tl Mg Sr Pr
4 2 1 1
direct
0.623 0.623 0.131 Tl
0.377 0.377 0.869 Tl
0.125 0.125 0.626 Tl
0.875 0.875 0.374 Tl
0.249 0.249 0.254 Mg
0.751 0.751 0.746 Mg
0.000 0.000 0.000 Sr
0.500 0.500 0.500 Pr
```

---

Record 4
# SrPrTmMg

Crystalline SrPrTmMg at its relaxed geometry (PBE, the Alexandria database).

Values from the calculation:
For the calculated formation energy, the calculation gives 0.126 eV per atom. As for the volume: 34.16 Å³/atom. The symmetry is No. 216.

Structure (POSCAR):
```
SrPrTmMg
1.0
-0.248 -3.039 4.912
-1.345 -5.621 -0.143
4.042 -3.970 1.150
Sr Mg Tm Pr
1 1 1 1
direct
0.750 0.750 0.750 Sr
0.500 0.500 0.500 Mg
0.000 0.000 0.000 Tm
0.250 0.250 0.250 Pr
```

---

Record 5
# SrPrYMg

Crystalline SrPrYMg at its relaxed geometry (PBE, the Alexandria database).

Values from the calculation:
For the calculated formation energy, the calculation gives 0.142 eV per atom. As for the volume: 34.26 Å³/atom. The symmetry is No. 216.

Structure (POSCAR):
```
SrPrYMg
1.0
-1.699 -0.848 5.467
1.441 -4.881 2.754
3.881 0.136 4.290
Mg Sr Y Pr
1 1 1 1
direct
0.750 0.750 0.750 Mg
0.250 0.250 0.250 Sr
0.500 0.500 0.500 Y
0.000 0.000 0.000 Pr
```

---

Record 6
# SrPrMgZn

Crystalline SrPrMgZn at its relaxed geometry (PBE, the Alexandria database).

Values from the calculation:
For the calculated formation energy, the calculation gives -0.097 eV per atom. The value obtained for the energy above the lowest structure with this stoichiometry is 56 meV/atom. As for the volume: 29.97 Å³/atom. The symmetry is No. 216.

Structure (POSCAR):
```
SrPrMgZn
1.0
-4.678 -2.673 -1.265
-0.775 -5.197 1.740
-3.730 -1.070 3.947
Mg Zn Sr Pr
1 1 1 1
direct
0.750 0.750 0.750 Mg
0.250 0.250 0.250 Zn
0.500 0.500 0.500 Sr
0.000 0.000 0.000 Pr
```

---

Record 7
# SrPrMgZn

Crystalline SrPrMgZn at its relaxed geometry (PBE, the Alexandria database).

Values from the calculation:
For the calculated formation energy, the calculation gives -0.153 eV per atom. The value obtained for the energy above the lowest structure with this stoichiometry is 0 meV/atom. As for the volume: 30.23 Å³/atom. The symmetry is No. 99.

Structure (POSCAR):
```
SrPrMgZn
1.0
3.896 0.000 0.000
0.000 3.896 0.000
0.000 0.000 7.966
Mg Pr Zn Sr
1 1 1 1
direct
0.500 0.500 0.583 Mg
0.000 0.000 0.334 Pr
0.500 0.500 0.136 Zn
0.000 0.000 0.875 Sr
```

---

Record 8
# TbPrMg3

Crystalline TbPrMg3 at its relaxed geometry (PBE, the Alexandria database).

Values from the calculation:
For the calculated formation energy, the calculation gives 0.011 eV per atom. As for the volume: 28.52 Å³/atom. The symmetry is No. 166.

Structure (POSCAR):
```
TbPrMg3
1.0
-7.929 4.267 0.586
-6.952 2.217 -5.309
-8.797 -1.830 -0.823
Tb Mg Pr
2 6 2
direct
0.165 0.165 0.165 Tb
0.835 0.835 0.835 Tb
0.610 0.123 0.123 Mg
0.877 0.390 0.877 Mg
0.123 0.123 0.610 Mg
0.877 0.877 0.390 Mg
0.390 0.877 0.877 Mg
0.123 0.610 0.123 Mg
0.568 0.568 0.568 Pr
0.432 0.432 0.432 Pr
```

---

Record 9
# Tb12Pr6Mg

Crystalline Tb12Pr6Mg at its relaxed geometry (PBE, the Alexandria database).

Values from the calculation:
For the calculated formation energy, the calculation gives 0.123 eV per atom. The value obtained for the energy above the lowest structure with this stoichiometry is 0 meV/atom. As for the volume: 33.40 Å³/atom. The symmetry is No. 148.

Structure (POSCAR):
```
Tb12Pr6Mg
1.0
8.528 0.682 0.817
-0.619 8.533 0.817
-0.619 -0.721 8.542
Pr Mg Tb
6 1 12
direct
0.301 0.737 0.907 Pr
0.263 0.093 0.699 Pr
0.737 0.907 0.301 Pr
0.907 0.301 0.737 Pr
0.699 0.263 0.093 Pr
0.093 0.699 0.263 Pr
0.000 0.000 0.000 Mg
0.221 0.463 0.563 Tb
0.984 0.814 0.639 Tb
0.016 0.186 0.361 Tb
0.361 0.016 0.186 Tb
0.186 0.361 0.016 Tb
0.563 0.221 0.463 Tb
0.437 0.779 0.537 Tb
0.814 0.639 0.984 Tb
0.779 0.537 0.437 Tb
0.463 0.563 0.221 Tb
0.537 0.437 0.779 Tb
0.639 0.984 0.814 Tb
```

---

Record 10
# Tb4PrMg5

Crystalline Tb4PrMg5 at its relaxed geometry (PBE, the Alexandria database).

Values from the calculation:
For the calculated formation energy, the calculation gives -0.090 eV per atom. As for the volume: 27.90 Å³/atom. The symmetry is No. 123.

Structure (POSCAR):
```
Tb4PrMg5
1.0
-2.149 -0.359 -3.130
-3.124 -0.249 2.173
-2.056 19.055 -0.777
Pr Mg Tb
1 5 4
direct
0.000 0.000 0.000 Pr
0.500 0.500 0.697 Mg
0.500 0.500 0.107 Mg
0.500 0.500 0.303 Mg
0.500 0.500 0.500 Mg
0.500 0.500 0.893 Mg
0.000 0.000 0.205 Tb
0.000 0.000 0.402 Tb
0.000 0.000 0.598 Tb
0.000 0.000 0.795 Tb
```

---

Record 11
# TbPr3Mg8

Crystalline TbPr3Mg8 at its relaxed geometry (PBE, the Alexandria database).

Values from the calculation:
For the calculated formation energy, the calculation gives -0.102 eV per atom. As for the volume: 27.15 Å³/atom. The symmetry is No. 160.

Structure (POSCAR):
```
TbPr3Mg8
1.0
6.137 0.000 0.000
3.069 5.315 0.000
3.069 1.772 9.988
Mg Pr Tb
8 3 1
direct
0.440 0.938 0.685 Mg
0.688 0.688 0.937 Mg
0.187 0.187 0.438 Mg
0.938 0.938 0.685 Mg
0.437 0.437 0.190 Mg
0.936 0.437 0.190 Mg
0.938 0.440 0.685 Mg
0.437 0.936 0.190 Mg
0.500 0.500 0.499 Pr
0.999 0.999 0.002 Pr
0.375 0.375 0.875 Pr
0.875 0.875 0.375 Tb
```

---

Record 12
# TbPr3Mg4

Crystalline TbPr3Mg4 at its relaxed geometry (PBE, the Alexandria database).

Values from the calculation:
For the calculated formation energy, the calculation gives -0.105 eV per atom. As for the volume: 29.36 Å³/atom. The symmetry is No. 123.

Structure (POSCAR):
```
TbPr3Mg4
1.0
3.883 0.000 0.000
0.000 3.883 0.000
0.000 0.000 15.580
Tb Mg Pr
1 4 3
direct
0.500 0.500 0.000 Tb
0.000 0.000 0.628 Mg
0.000 0.000 0.883 Mg
0.000 0.000 0.372 Mg
0.000 0.000 0.117 Mg
0.500 0.500 0.756 Pr
0.500 0.500 0.244 Pr
0.500 0.500 0.500 Pr
```

---

Record 13
# Tb12Pr6Mg

Crystalline Tb12Pr6Mg at its relaxed geometry (PBE, the Alexandria database).

Values from the calculation:
For the calculated formation energy, the calculation gives 0.128 eV per atom. The value obtained for the energy above the lowest structure with this stoichiometry is 6 meV/atom. As for the volume: 34.29 Å³/atom. The symmetry is No. 166.

Structure (POSCAR):
```
Tb12Pr6Mg
1.0
8.620 0.397 -1.457
-1.787 8.442 -1.457
0.307 0.397 8.737
Tb Pr Mg
12 6 1
direct
0.738 0.000 0.262 Tb
0.590 0.590 0.167 Tb
0.833 0.410 0.410 Tb
0.167 0.590 0.590 Tb
0.410 0.833 0.410 Tb
0.000 0.262 0.738 Tb
0.738 0.262 0.000 Tb
0.000 0.738 0.262 Tb
0.262 0.738 0.000 Tb
0.590 0.167 0.590 Tb
0.410 0.410 0.833 Tb
0.262 0.000 0.738 Tb
0.865 0.865 0.592 Pr
0.865 0.592 0.865 Pr
0.135 0.408 0.135 Pr
0.135 0.135 0.408 Pr
0.408 0.135 0.135 Pr
0.592 0.865 0.865 Pr
0.000 0.000 0.000 Mg
```

---

Record 14
# TbPr4Mg5

Crystalline TbPr4Mg5 at its relaxed geometry (PBE, the Alexandria database).

Values from the calculation:
For the calculated formation energy, the calculation gives -0.108 eV per atom. As for the volume: 29.44 Å³/atom. The symmetry is No. 123.

Structure (POSCAR):
```
TbPr4Mg5
1.0
3.885 0.000 0.000
0.000 3.885 0.000
0.000 0.000 19.508
Pr Mg Tb
4 5 1
direct
0.000 0.000 0.804 Pr
0.000 0.000 0.398 Pr
0.000 0.000 0.196 Pr
0.000 0.000 0.602 Pr
0.500 0.500 0.094 Mg
0.500 0.500 0.297 Mg
0.500 0.500 0.906 Mg
0.500 0.500 0.703 Mg
0.500 0.500 0.500 Mg
0.000 0.000 0.000 Tb
```

---

Record 15
# Tb4Pr4Mg

Crystalline Tb4Pr4Mg at its relaxed geometry (PBE, the Alexandria database).

Values from the calculation:
For the calculated formation energy, the calculation gives 0.017 eV per atom. The value obtained for the energy above the lowest structure with this stoichiometry is 3 meV/atom. As for the volume: 32.95 Å³/atom. The symmetry is No. 2.

Structure (POSCAR):
```
Tb4Pr4Mg
1.0
-4.107 -3.293 -6.140
-7.563 -5.790 0.617
-7.921 6.079 2.044
Mg Pr Tb
2 8 8
direct
0.495 0.499 0.250 Mg
0.505 0.501 0.750 Mg
0.829 0.170 0.082 Pr
0.049 0.278 0.306 Pr
0.392 0.946 0.140 Pr
0.951 0.722 0.694 Pr
0.171 0.830 0.918 Pr
0.171 0.828 0.417 Pr
0.608 0.054 0.860 Pr
0.829 0.172 0.583 Pr
0.727 0.613 0.473 Tb
0.051 0.279 0.804 Tb
0.609 0.057 0.362 Tb
0.726 0.611 0.971 Tb
0.391 0.943 0.638 Tb
0.273 0.387 0.527 Tb
0.274 0.389 0.029 Tb
0.949 0.721 0.196 Tb
```

---

Record 16
# Tb3Pr5Mg

Crystalline Tb3Pr5Mg at its relaxed geometry (PBE, the Alexandria database).

Values from the calculation:
For the calculated formation energy, the calculation gives 0.512 eV per atom. As for the volume: 38.26 Å³/atom. The symmetry is No. 12.

Structure (POSCAR):
```
Tb3Pr5Mg
1.0
-5.690 -8.032 2.395
5.840 -8.270 -0.355
1.698 -4.936 7.549
Pr Tb Mg
10 6 2
direct
0.256 0.744 0.000 Pr
0.551 0.551 0.249 Pr
0.407 0.933 0.362 Pr
0.744 0.256 0.000 Pr
0.933 0.407 0.362 Pr
0.067 0.593 0.638 Pr
0.815 0.815 0.937 Pr
0.185 0.185 0.063 Pr
0.593 0.067 0.638 Pr
0.449 0.449 0.751 Pr
0.360 0.360 0.195 Tb
0.000 0.000 0.500 Tb
0.702 0.702 0.377 Tb
0.298 0.298 0.623 Tb
0.640 0.640 0.805 Tb
0.000 0.000 0.000 Tb
0.866 0.866 0.408 Mg
0.134 0.134 0.592 Mg
```

---

Record 17
# Tb5Pr5Mg2

Crystalline Tb5Pr5Mg2 at its relaxed geometry (PBE, the Alexandria database).

Values from the calculation:
For the calculated formation energy, the calculation gives 0.011 eV per atom. As for the volume: 32.38 Å³/atom. The symmetry is No. 12.

Structure (POSCAR):
```
Tb5Pr5Mg2
1.0
-0.909 4.996 -0.486
-1.707 3.258 9.924
6.553 4.033 2.432
Mg Pr Tb
2 5 5
direct
0.168 0.501 0.163 Mg
0.832 0.499 0.837 Mg
0.920 0.744 0.416 Pr
0.749 0.259 0.243 Pr
0.251 0.741 0.757 Pr
0.000 0.000 0.000 Pr
0.080 0.256 0.584 Pr
0.500 0.500 0.500 Tb
0.414 0.260 0.913 Tb
0.667 0.002 0.665 Tb
0.333 0.998 0.335 Tb
0.586 0.740 0.087 Tb
```

---

Record 18
# Tb2PrMg

Crystalline Tb2PrMg at its relaxed geometry (PBE, the Alexandria database).

Values from the calculation:
For the calculated formation energy, the calculation gives -0.033 eV per atom. The value obtained for the energy above the lowest structure with this stoichiometry is 0 meV/atom. As for the volume: 30.97 Å³/atom. The symmetry is No. 139.

Structure (POSCAR):
```
Tb2PrMg
1.0
-3.973 3.280 -0.563
-2.807 -2.828 3.314
6.577 4.838 5.644
Mg Tb Pr
2 4 2
direct
0.750 0.250 0.000 Mg
0.250 0.750 0.000 Mg
0.000 0.500 0.500 Tb
0.135 0.135 0.770 Tb
0.500 0.000 0.500 Tb
0.865 0.865 0.230 Tb
0.368 0.368 0.236 Pr
0.632 0.632 0.764 Pr
```

---

Record 19
# Tb3Pr2Mg2

Crystalline Tb3Pr2Mg2 at its relaxed geometry (PBE, the Alexandria database).

Values from the calculation:
For the calculated formation energy, the calculation gives 0.024 eV per atom. As for the volume: 31.15 Å³/atom. The symmetry is No. 65.

Structure (POSCAR):
```
Tb3Pr2Mg2
1.0
-2.517 0.071 -2.534
-0.123 -3.535 0.022
-10.975 0.467 13.434
Tb Pr Mg
3 2 2
direct
0.000 0.000 0.000 Tb
0.572 0.500 0.144 Tb
0.428 0.500 0.856 Tb
0.296 0.500 0.592 Pr
0.704 0.500 0.408 Pr
0.863 0.000 0.727 Mg
0.137 0.000 0.273 Mg
```

---

Record 20
# Tb6PrMg

Crystalline Tb6PrMg at its relaxed geometry (PBE, the Alexandria database).

Values from the calculation:
For the calculated formation energy, the calculation gives 0.125 eV per atom. The value obtained for the energy above the lowest structure with this stoichiometry is 98 meV/atom. As for the volume: 31.96 Å³/atom. The symmetry is No. 148.

Structure (POSCAR):
```
Tb6PrMg
1.0
-1.967 2.363 -8.006
-4.653 -5.858 -4.200
-5.552 0.366 -3.126
Pr Tb Mg
1 6 1
direct
0.500 0.500 0.500 Pr
0.464 0.241 0.248 Tb
0.241 0.953 0.270 Tb
0.536 0.759 0.752 Tb
0.759 0.047 0.730 Tb
0.953 0.464 0.824 Tb
0.047 0.536 0.176 Tb
0.000 0.000 0.000 Mg
```